## ErMnPtRh (PBE-GGA)

Data for a relaxed ErMnPtRh crystal.

Structure (CIF):
```
data_ErMnPtRh
_chemical_formula_sum 'Er4 Mn4 Pt4 Rh4'
_cell_length_a 6.5335
_cell_length_b 6.5335
_cell_length_c 6.5335
_cell_angle_alpha 90.00
_cell_angle_beta 90.00
_cell_angle_gamma 90.00
_space_group_name_H-M_alt 'F -4 3 m'
_space_group_IT_number 216
_space_group_name_Hall 'F -4 2 3'
loop_
_atom_site_label
_atom_site_type_symbol
_atom_site_fract_x
_atom_site_fract_y
_atom_site_fract_z
Er1 Er 0.0000 0.0000 0.0000
Mn1 Mn 0.0000 0.0000 0.5000
Pt1 Pt 0.2500 0.2500 0.2500
Rh1 Rh 0.2500 0.2500 0.7500
```

Properties
DFT formation energy, eV/f.u.: -2.607



## Er2MnSi4Pt3 (PBE-GGA)

Data for a relaxed Er2MnSi4Pt3 crystal.

Structure (CIF):
```
data_Er2MnSi4Pt3
_chemical_formula_sum 'Er2 Mn1 Si4 Pt3'
_cell_length_a 4.0543
_cell_length_b 4.0543
_cell_length_c 10.2551
_cell_angle_alpha 90.00
_cell_angle_beta 90.00
_cell_angle_gamma 90.00
_space_group_name_H-M_alt 'P -4 m 2'
_space_group_IT_number 115
_space_group_name_Hall 'P -4 -2'
loop_
_atom_site_label
_atom_site_type_symbol
_atom_site_fract_x
_atom_site_fract_y
_atom_site_fract_z
Er1 Er 0.0000 0.5000 0.2460
Mn1 Mn 0.5000 0.5000 0.0000
Si1 Si 0.0000 0.0000 0.5000
Si2 Si 0.0000 0.5000 0.8650
Si3 Si 0.5000 0.5000 0.5000
Pt1 Pt 0.0000 0.0000 0.0000
Pt2 Pt 0.0000 0.5000 0.6303
```

Properties
Total DFT energy (no corrections), eV per atom: -6.78



## ErPu2Mn9 (PBE-GGA)

Data for a relaxed ErPu2Mn9 crystal.

Structure (CIF):
```
data_ErPu2Mn9
_chemical_formula_sum 'Er3 Pu6 Mn27'
_cell_length_a 5.0795
_cell_length_b 5.0795
_cell_length_c 24.5066
_cell_angle_alpha 90.00
_cell_angle_beta 90.00
_cell_angle_gamma 120.00
_space_group_name_H-M_alt 'R -3 m'
_space_group_IT_number 166
_space_group_name_Hall '-R 3 2"'
loop_
_atom_site_label
_atom_site_type_symbol
_atom_site_fract_x
_atom_site_fract_y
_atom_site_fract_z
Er1 Er 0.0000 0.0000 0.0000
Pu1 Pu 0.0000 0.0000 0.1471
Mn1 Mn 0.0000 0.0000 0.3312
Mn2 Mn 0.0000 0.0000 0.5000
Mn3 Mn 0.0076 0.5038 0.0795
```

Properties
DFT formation energy, eV/f.u.: 0.970



## ErPuMn2 (PBE-GGA)

Data for a relaxed ErPuMn2 crystal.

Structure (CIF):
```
data_ErPuMn2
_chemical_formula_sum 'Er1 Pu1 Mn2'
_cell_length_a 4.8400
_cell_length_b 4.8400
_cell_length_c 3.3423
_cell_angle_alpha 90.00
_cell_angle_beta 90.00
_cell_angle_gamma 90.00
_space_group_name_H-M_alt 'P 4/m m m'
_space_group_IT_number 123
_space_group_name_Hall '-P 4 2'
loop_
_atom_site_label
_atom_site_type_symbol
_atom_site_fract_x
_atom_site_fract_y
_atom_site_fract_z
Er1 Er 0.0000 0.0000 0.0000
Pu1 Pu 0.5000 0.5000 0.0000
Mn1 Mn 0.0000 0.5000 0.5000
```

Properties
DFT formation energy, eV/f.u.: 0.415



## ErPu2Mn2 (PBE-GGA)

Data for a relaxed ErPu2Mn2 crystal.

Structure (CIF):
```
data_ErPu2Mn2
_chemical_formula_sum 'Er2 Pu4 Mn4'
_cell_length_a 6.0593
_cell_length_b 5.9930
_cell_length_c 6.3923
_cell_angle_alpha 90.00
_cell_angle_beta 113.82
_cell_angle_gamma 90.00
_space_group_name_H-M_alt 'C 1 2/m 1'
_space_group_IT_number 12
_space_group_name_Hall '-C 2y'
loop_
_atom_site_label
_atom_site_type_symbol
_atom_site_fract_x
_atom_site_fract_y
_atom_site_fract_z
Er1 Er 0.0000 0.0000 0.0000
Pu1 Pu 0.0000 0.2436 0.5000
Mn1 Mn 0.0760 0.5000 0.2137
```

Properties
DFT formation energy, eV/f.u.: 1.041



## ErPuMn2 (PBE-GGA)

Data for a relaxed ErPuMn2 crystal.

Structure (CIF):
```
data_ErPuMn2
_chemical_formula_sum 'Er1 Pu1 Mn2'
_cell_length_a 3.3891
_cell_length_b 3.3891
_cell_length_c 6.7325
_cell_angle_alpha 90.00
_cell_angle_beta 90.00
_cell_angle_gamma 90.00
_space_group_name_H-M_alt 'P 4/m m m'
_space_group_IT_number 123
_space_group_name_Hall '-P 4 2'
loop_
_atom_site_label
_atom_site_type_symbol
_atom_site_fract_x
_atom_site_fract_y
_atom_site_fract_z
Er1 Er 0.0000 0.0000 0.0000
Pu1 Pu 0.0000 0.0000 0.5000
Mn1 Mn 0.5000 0.5000 0.2906
```

Properties
DFT formation energy, eV/f.u.: 0.188



Number 1: DOS(E_F) 0.593 states/eV/atom. Number 2: DOS(E_F) 0.562 states/eV/atom. Number 3: DOS(E_F) 2.123 states/eV/atom. Number 4: DOS(E_F) 1.441 states/eV/atom. Number 5: DOS(E_F) 1.610 states/eV/atom. Number 6: DOS(E_F) 1.399 states/eV/atom.